(P)
DFT (GGA-PBE) results for a geometry-optimized SmMgB4 structure.

The value obtained for the total magnetic moment is 0.000 μB per atom.

The structure belongs to space group P6/mmm (No. 191); the cell edges are 3.1918, 3.1918 and 7.5516 Å and the angles 90.00°, 90.00° and 120.00°. The inequivalent atoms are Sm at (0.0000, 0.0000, 0.0000), Mg at (0.0000, 0.0000, 0.5000) and B at (0.3333, 0.6667, 0.2717).

***

(Q)
DFT (GGA-PBE) results for a geometry-optimized SmMgB4 structure.

The value obtained for the total magnetic moment is 0.000 μB per atom.

The structure belongs to space group Immm (No. 71); the cell edges are 3.203, 5.479 and 7.910 Å and the angles 90.00°, 90.00° and 90.00°. The inequivalent atoms are Sm at (0.000, 0.000, 0.000), Mg at (0.000, 0.000, 0.500) and B at (0.000, 0.328, 0.253).

***

Least stable of them? (Q).

***

(P)
DFT (GGA-PBE) results for a geometry-optimized SmMgB structure.

The value obtained for the total magnetic moment is 0.000 μB per atom.

The structure belongs to space group F-43m (No. 216); the cell edges are 6.457, 6.457 and 6.457 Å and the angles 90.00°, 90.00° and 90.00°. The inequivalent atoms are Sm at (0.000, 0.000, 0.000), Mg at (0.250, 0.250, 0.250) and B at (0.250, 0.250, 0.750).

***

(Q)
DFT (GGA-PBE) results for a geometry-optimized SmMgB structure.

The value obtained for the total magnetic moment is 0.000 μB per atom.

The structure belongs to space group F-43m (No. 216); the cell edges are 6.216, 6.216 and 6.216 Å and the angles 90.00°, 90.00° and 90.00°. The inequivalent atoms are Sm at (0.000, 0.000, 0.000), Mg at (0.250, 0.250, 0.750) and B at (0.000, 0.000, 0.500).

***

Least stable of them? (P).